DFT (GGA-PBE) results for crystalline Nd5CdGa2 at its relaxed geometry.

a b c (Å): 9.4809 9.4809 9.4809
angles (deg): 131.19 131.19 71.51
Element x y z (fractional)
Nd: 0.0000 0.0000 0.0000
Nd: 0.0269 0.5269 0.8430
Nd: 0.1839 0.0269 0.5000
Nd: 0.3161 0.8161 0.8430
Nd: 0.4731 0.3161 0.5000
Nd: 0.5000 0.5000 0.0000
Nd: 0.5269 0.6839 0.5000
Nd: 0.6839 0.1839 0.1570
Nd: 0.8161 0.9731 0.5000
Nd: 0.9731 0.4731 0.1570
Cd: 0.2500 0.2500 0.0000
Cd: 0.7500 0.7500 0.0000
Ga: 0.1181 0.3819 0.5000
Ga: 0.3819 0.8819 0.2638
Ga: 0.6181 0.1181 0.7362
Ga: 0.8819 0.6181 0.5000

The formation enthalpy at 0 K comes out at -0.36 eV/atom. The total energy is -4.21 eV/atom. The relative energy among the computed polymorphs is 0.00 kcal/mol of atoms. The density of states at the Fermi level comes out at 14.98 states/eV per cell. Its space-group type is I4/mcm, No. 140.